Record 1
Compound: Nd2SbPb
Source: the Alexandria database
Functional: GGA-PBE
Structure: optimized geometry

Properties
As for the uncorrected formation energy: -0.6978 eV/atom. For the total magnetization, the calculation gives 0.1 μB/f.u. Its space group is No. 123. The value obtained for the offset from the most stable computed form is 0.183 eV/atom.

a b c (Å): 3.3521 5.9523 5.9523
angles (deg): 90.00 90.00 90.00
Element x y z (fractional)
Pb  0.5000  0.0000  0.0000
Sb  0.5000  0.5000  0.5000
Nd  0.0000  0.0000  0.5000
Nd  0.0000  0.5000  0.0000

Record 2
Compound: Nd6Sb3Pb
Source: the Alexandria database
Functional: GGA-PBE
Structure: optimized geometry

Properties
As for the uncorrected formation energy: -0.7071 eV/atom. For the total magnetization, the calculation gives 1.8 μB/f.u. Its space group is No. 36.

a b c (Å): 7.9329 9.5625 9.5625
angles (deg): 106.04 90.00 90.00
Site moments in Bohr magnetons follow the coordinates.
Element x y z (fractional)
Pb  0.4973  0.8292  0.1708  -0.01
Pb  0.9973  0.1708  0.8292  -0.01
Nd  0.2421  0.0885  0.5401  0.11
Nd  0.6541  0.6284  0.7215  0.15
Nd  0.1541  0.7215  0.6284  0.15
Nd  0.2421  0.4599  0.9115  0.11
Nd  0.2540  0.9995  0.0005  0.01
Nd  0.7421  0.9115  0.4599  0.11
Nd  0.1248  0.7518  0.2482  0.21
Nd  0.7540  0.0005  0.9995  0.01
Nd  0.7421  0.5401  0.0885  0.11
Nd  0.6248  0.2482  0.7518  0.21
Nd  0.1541  0.3716  0.2785  0.15
Nd  0.6541  0.2785  0.3716  0.15
Sb  0.9827  0.0792  0.2847  -0.01
Sb  0.9827  0.7153  0.9208  -0.01
Sb  0.3515  0.4183  0.5817  -0.01
Sb  0.4827  0.2847  0.0792  -0.01
Sb  0.8515  0.5817  0.4183  -0.01
Sb  0.4827  0.9208  0.7153  -0.01

Record 3
Compound: Nd6Sb3PbSe2
Source: the Alexandria database
Functional: GGA-PBE
Structure: optimized geometry

Properties
As for the uncorrected formation energy: -1.3021 eV/atom. For the total magnetization, the calculation gives 0.0 μB/f.u. Its space group is No. 12.

a b c (Å): 4.4467 8.9019 9.9233
angles (deg): 102.75 102.95 90.00
Element x y z (fractional)
Nd  0.9961  0.7457  0.9922
Nd  0.3317  0.9111  0.6633
Nd  0.6684  0.5800  0.3368
Nd  0.0039  0.2543  0.0078
Nd  0.6683  0.0889  0.3367
Nd  0.3316  0.4200  0.6632
Sb  0.1656  0.8313  0.3312
Sb  0.5000  0.5000  0.0000
Sb  0.8344  0.1687  0.6688
Pb  0.5000  0.0000  0.0000
Se  0.8310  0.6630  0.6620
Se  0.1690  0.3370  0.3380

Record 4
Compound: Nd6Sb2PbSe3
Source: the Alexandria database
Functional: GGA-PBE
Structure: optimized geometry

Properties
As for the uncorrected formation energy: -1.4095 eV/atom. For the total magnetization, the calculation gives 0.0 μB/f.u. Its space group is No. 12.

a b c (Å): 4.4088 8.7753 9.8219
angles (deg): 102.55 102.97 90.00
Element x y z (fractional)
Sb  0.1667  0.3332  0.3334
Sb  0.8333  0.6668  0.6666
Nd  0.3311  0.9223  0.6622
Nd  0.0024  0.7435  0.0048
Nd  0.6689  0.0777  0.3378
Nd  0.9976  0.2565  0.9952
Nd  0.6649  0.5880  0.3299
Nd  0.3351  0.4120  0.6701
Se  0.8328  0.1674  0.6656
Se  0.5000  0.5000  0.0000
Se  0.1672  0.8326  0.3344
Pb  0.5000  0.0000  0.0000

Record 5
Compound: Nd4Sb2PbSe
Source: the Alexandria database
Functional: GGA-PBE
Structure: optimized geometry

Properties
As for the uncorrected formation energy: -1.1892 eV/atom. For the total magnetization, the calculation gives 0.0 μB/f.u. Its space group is No. 10.

a b c (Å): 4.4578 7.7533 7.7651
angles (deg): 70.68 90.00 90.00
Element x y z (fractional)
Sb  0.5000  0.0000  0.5000
Sb  0.0000  0.0000  0.0000
Pb  0.5000  0.5000  0.0000
Nd  0.5000  0.7464  0.2542
Nd  0.0000  0.7492  0.7443
Nd  0.0000  0.2508  0.2557
Nd  0.5000  0.2536  0.7458
Se  0.0000  0.5000  0.5000

Record 6
Compound: Nd6SbPb2Se3
Source: the Alexandria database
Functional: GGA-PBE
Structure: optimized geometry

Properties
As for the uncorrected formation energy: -1.2980 eV/atom. For the total magnetization, the calculation gives 0.0 μB/f.u. Its space group is No. 12.

a b c (Å): 4.4171 8.8077 9.8429
angles (deg): 102.56 102.97 90.00
Element x y z (fractional)
Nd  0.3364  0.4104  0.6727
Nd  0.6636  0.5896  0.3273
Nd  0.0016  0.7456  0.0032
Nd  0.6685  0.0770  0.3370
Nd  0.3315  0.9230  0.6630
Nd  0.9984  0.2544  0.9968
Pb  0.8331  0.6669  0.6663
Pb  0.1669  0.3331  0.3337
Se  0.1659  0.8335  0.3319
Se  0.8341  0.1665  0.6681
Se  0.5000  0.5000  0.0000
Sb  0.5000  0.0000  0.0000

Record 7
Compound: Nd4SbTePb2
Source: the Alexandria database
Functional: GGA-PBE
Structure: optimized geometry

Properties
As for the uncorrected formation energy: -0.9213 eV/atom. For the total magnetization, the calculation gives 0.0 μB/f.u. Its space group is No. 10.

a b c (Å): 4.4698 8.1058 7.7474
angles (deg): 71.38 90.00 90.00
Element x y z (fractional)
Nd  0.0000  0.2563  0.2449
Nd  0.0000  0.7437  0.7551
Nd  0.5000  0.7480  0.2472
Nd  0.5000  0.2520  0.7528
Pb  0.0000  0.0000  0.0000
Pb  0.5000  0.0000  0.5000
Sb  0.5000  0.5000  0.0000
Te  0.0000  0.5000  0.5000

Record 8
Compound: Nd6Sb3Te2Pb
Source: the Alexandria database
Functional: GGA-PBE
Structure: optimized geometry

Properties
As for the uncorrected formation energy: -1.2000 eV/atom. For the total magnetization, the calculation gives 0.0 μB/f.u. Its space group is No. 12.

a b c (Å): 4.5265 9.0786 10.1216
angles (deg): 102.87 102.92 90.00
Element x y z (fractional)
Sb  0.1679  0.8334  0.3358
Sb  0.8321  0.1666  0.6642
Sb  0.5000  0.5000  0.0000
Te  0.8325  0.6646  0.6650
Te  0.1675  0.3354  0.3350
Pb  0.5000  0.0000  0.0000
Nd  0.6665  0.0779  0.3330
Nd  0.9988  0.2506  0.9976
Nd  0.6643  0.5893  0.3286
Nd  0.0012  0.7494  0.0024
Nd  0.3335  0.9221  0.6670
Nd  0.3357  0.4107  0.6714

Record 9
Compound: Nd6Sb3TePb2
Source: the Alexandria database
Functional: GGA-PBE
Structure: optimized geometry

Properties
As for the uncorrected formation energy: -1.0121 eV/atom. For the total magnetization, the calculation gives 0.0 μB/f.u. Its space group is No. 12.

a b c (Å): 4.4932 9.1630 10.1623
angles (deg): 103.21 102.77 90.00
Element x y z (fractional)
Nd  0.9995  0.2546  0.9990
Nd  0.6674  0.0797  0.3348
Nd  0.3349  0.4119  0.6698
Nd  0.6651  0.5881  0.3302
Nd  0.3326  0.9203  0.6652
Nd  0.0005  0.7454  0.0010
Pb  0.8333  0.6664  0.6666
Pb  0.1667  0.3336  0.3334
Sb  0.5000  0.5000  0.0000
Sb  0.1654  0.8341  0.3308
Sb  0.8346  0.1659  0.6692
Te  0.5000  0.0000  0.0000

Record 10
Compound: NdSc2Pb
Source: the Alexandria database
Functional: GGA-PBE
Structure: optimized geometry

Properties
For the total magnetization, the calculation gives 0.4 μB/f.u. Its space group is No. 123. The energy of formation is -0.2575 eV per atom. The value obtained for the offset from the most stable computed form is 0.000 eV/atom.

a b c (Å): 4.6366 4.7557 4.7557
angles (deg): 90.00 90.00 90.00
Site moments in Bohr magnetons follow the coordinates.
Element x y z (fractional)
Nd  0.5000  0.0000  0.0000  0.03
Sc  0.0000  0.5000  0.0000  0.11
Sc  0.0000  0.0000  0.5000  0.11
Pb  0.5000  0.5000  0.5000  0.00

Record 11
Compound: NdScPb
Source: the Alexandria database
Functional: GGA-PBE
Structure: optimized geometry

Properties
For the total magnetization, the calculation gives 0.0 μB/f.u. Its space group is No. 156. The energy of formation is -0.2995 eV per atom. The value obtained for the offset from the most stable computed form is 0.162 eV/atom.

a b c (Å): 4.0922 4.9875 4.9875
angles (deg): 120.00 90.00 90.00
Element x y z (fractional)
Pb  0.8322  0.6667  0.3333
Sc  0.8342  0.0000  0.0000
Nd  0.3336  0.3333  0.6667

Record 12
Compound: NdScPb2
Source: the Alexandria database
Functional: GGA-PBE
Structure: optimized geometry

Properties
For the total magnetization, the calculation gives 0.0 μB/f.u. Its space group is No. 123. The energy of formation is -0.3960 eV per atom.

a b c (Å): 4.5268 4.9279 4.9279
angles (deg): 90.00 90.00 90.00
Element x y z (fractional)
Pb  0.0000  0.5000  0.0000
Pb  0.0000  0.0000  0.5000
Sc  0.5000  0.5000  0.5000
Nd  0.5000  0.0000  0.0000

Record 13
Compound: NdSc2Pb
Source: the Alexandria database
Functional: GGA-PBE
Structure: optimized geometry

Properties
For the total magnetization, the calculation gives 1.4 μB/f.u. Its space group is No. 225. The energy of formation is -0.1023 eV per atom. The value obtained for the offset from the most stable computed form is 0.155 eV/atom.

a b c (Å): 5.2523 5.2523 5.2515
angles (deg): 59.99 59.99 60.00
Site moments in Bohr magnetons follow the coordinates.
Element x y z (fractional)
Nd  0.5000  0.5000  0.5000  0.38
Sc  0.2499  0.2499  0.2502  0.26
Sc  0.7501  0.7501  0.7498  0.26
Pb  0.0000  0.0000  0.0000  -0.02

Record 14
Compound: NdScPb2
Source: the Alexandria database
Functional: GGA-PBE
Structure: optimized geometry

Properties
For the total magnetization, the calculation gives 0.1 μB/f.u. Its space group is No. 123. The energy of formation is -0.3834 eV per atom.

a b c (Å): 3.9806 3.9806 6.9781
angles (deg): 90.00 90.00 90.00
Element x y z (fractional)
Nd  0.5000  0.5000  0.5000
Sc  0.5000  0.5000  0.0000
Pb  0.0000  0.0000  0.2255
Pb  0.0000  0.0000  0.7745

Record 15
Compound: Nd2ScPb
Source: the Alexandria database
Functional: GGA-PBE
Structure: optimized geometry

Properties
For the total magnetization, the calculation gives 0.0 μB/f.u. Its space group is No. 123. The energy of formation is -0.2905 eV per atom. The value obtained for the offset from the most stable computed form is 0.000 eV/atom.

a b c (Å): 4.8925 4.8486 4.8486
angles (deg): 90.00 90.00 90.00
Element x y z (fractional)
Pb  0.5000  0.5000  0.5000
Sc  0.5000  0.0000  0.0000
Nd  0.0000  0.5000  0.0000
Nd  0.0000  0.0000  0.5000

Record 16
Compound: Nd2ScPb
Source: the Alexandria database
Functional: GGA-PBE
Structure: optimized geometry

Properties
For the total magnetization, the calculation gives 0.0 μB/f.u. Its space group is No. 123. The energy of formation is -0.2618 eV per atom. The value obtained for the offset from the most stable computed form is 0.029 eV/atom.

a b c (Å): 4.2699 4.2699 6.5408
angles (deg): 90.00 90.00 90.00
Element x y z (fractional)
Pb  0.5000  0.5000  0.5000
Nd  0.0000  0.0000  0.2589
Nd  0.0000  0.0000  0.7411
Sc  0.5000  0.5000  0.0000

Record 17
Compound: Nd6ScPb
Source: the Alexandria database
Functional: GGA-PBE
Structure: optimized geometry

Properties
For the total magnetization, the calculation gives 0.0 μB/f.u. Its space group is No. 123. The energy of formation is -0.1377 eV per atom.

a b c (Å): 5.0110 5.0110 10.1988
angles (deg): 90.00 90.00 90.00
Element x y z (fractional)
Pb  0.0000  0.0000  0.0000
Nd  0.5000  0.5000  0.0000
Nd  0.5000  0.0000  0.2495
Nd  0.5000  0.0000  0.7505
Nd  0.0000  0.5000  0.7505
Nd  0.0000  0.5000  0.2495
Nd  0.5000  0.5000  0.5000
Sc  0.0000  0.0000  0.5000

Record 18
Compound: Nd14ScPb
Source: the Alexandria database
Functional: GGA-PBE
Structure: optimized geometry

Properties
For the total magnetization, the calculation gives 0.0 μB/f.u. Its space group is No. 123. The energy of formation is -0.0520 eV per atom.

a b c (Å): 7.2203 7.2203 10.3138
angles (deg): 90.00 90.00 90.00
Element x y z (fractional)
Nd  0.6258  0.8758  0.2429
Nd  0.6258  0.8758  0.7571
Nd  0.3750  0.6250  0.5000
Nd  0.1242  0.3742  0.2429
Nd  0.3748  0.1248  0.5000
Nd  0.8748  0.6247  0.0000
Nd  0.1242  0.8758  0.2427
Nd  0.8750  0.1250  0.5000
Nd  0.3753  0.1252  0.0000
Nd  0.8752  0.6252  0.5000
Nd  0.1242  0.3742  0.7571
Nd  0.1242  0.8758  0.7573
Nd  0.6259  0.3741  0.7570
Nd  0.6259  0.3741  0.2430
Pb  0.3749  0.6251  0.0000
Sc  0.8751  0.1249  0.0000

Record 19
Compound: NdScPb
Source: the Alexandria database
Functional: GGA-PBE
Structure: optimized geometry

Properties
For the total magnetization, the calculation gives 0.0 μB/f.u. Its space group is No. 12. The energy of formation is -0.1911 eV per atom. The value obtained for the offset from the most stable computed form is 0.270 eV/atom.

a b c (Å): 4.4850 5.5915 8.5309
angles (deg): 100.44 74.76 66.36
Element x y z (fractional)
Sc  0.4452  0.7334  0.3762
Sc  0.5548  0.2666  0.6238
Pb  0.1212  0.9991  0.7585
Pb  0.8788  0.0009  0.2415
Nd  0.2978  0.3163  0.0881
Nd  0.7022  0.6837  0.9119

Record 20
Compound: Nd3ScPb4
Source: the Alexandria database
Functional: GGA-PBE
Structure: optimized geometry

Properties
For the total magnetization, the calculation gives 0.0 μB/f.u. Its space group is No. 71. The energy of formation is -0.3546 eV per atom.

a b c (Å): 4.0813 7.1954 9.6748
angles (deg): 111.83 102.18 90.00
Element x y z (fractional)
Sc  0.5000  0.0000  0.0000
Pb  0.6250  0.4066  0.2500
Pb  0.3750  0.1566  0.7500
Pb  0.6250  0.8434  0.2500
Pb  0.3750  0.5934  0.7500
Nd  0.2094  0.2093  0.4187
Nd  0.7906  0.7907  0.5813
Nd  0.0000  0.5000  0.0000

no.,theoretical density (g/cm3)
1,8.63
2,6.85
3,7.11
4,7.14
5,7.26
6,7.48
7,7.75
8,7.12
9,7.42
10,6.99
11,7.47
12,9.12
13,7.15
14,9.06
15,7.81
16,7.53
17,7.25
18,7.02
19,7.36
20,8.45